# ZnRe2Tc2 PBE optimized geometry
# - density (g/cm³) = 13.1
# - energy (eV/atom) = -9.102
# - magnetization (Bohr magnetons per cell) = 0.0
data_ZnRe2Tc2
_chemical_formula_sum 'Zn2 Re4 Tc4'
_symmetry_space_group_name_H-M 'P 1'
_symmetry_Int_Tables_number 1
_cell_length_a 7.610
_cell_length_b 7.610
_cell_length_c 2.770
_cell_angle_alpha 90.00
_cell_angle_beta 90.00
_cell_angle_gamma 90.00
loop_
_symmetry_equiv_pos_as_xyz
'x,y,z'
loop_
_atom_site_label
_atom_site_fract_x
_atom_site_fract_y
_atom_site_fract_z
_atom_site_occupancy
Zn1 0.000 0.000 0.000 1
Zn2 0.500 0.500 0.000 1
Re1 0.126 0.374 0.000 1
Re2 0.374 0.874 0.000 1
Re3 0.626 0.126 0.000 1
Re4 0.874 0.626 0.000 1
Tc1 0.165 0.665 0.500 1
Tc2 0.335 0.165 0.500 1
Tc3 0.665 0.835 0.500 1
Tc4 0.835 0.335 0.500 1